Entry from Alexandria via LeMat-Bulk: crystalline LaTcPt2 at its relaxed geometry (PBE).

Lattice parameters (Å, degrees): 4.7559 4.7559 4.7559 60.00 60.00 60.00
Fractional coordinates of all 4 atoms:
La 0.5000 0.5000 0.5000
Tc 0.7500 0.7500 0.7500
Pt 0.2500 0.2500 0.2500
Pt 0.0000 0.0000 0.0000

Calculated values
SG = F-43m (216)
density = 13.69 g/cm3
DOS(E_F) = 2.1 states/eV/f.u.
energy of formation = -0.102 eV/atom
E above lowest polymorph = 211 meV/atom
uncorrected energy = -6.945 eV/atom